Ga2NiBF: relaxed, GGA+U.

Unit cell a=4.3325 b=4.3325 c=3.5255 alpha=90.00 beta=90.00 gamma=90.00
Sites, in units of the cell vectors:
Ga (0.0000, 0.5000, 0.0000)
Ga (0.5000, 0.0000, 0.0000)
Ni (0.0000, 0.0000, 0.5000)
B (0.5000, 0.5000, 0.0000)
F (0.5000, 0.5000, 0.5000)

Computed properties:
space-group type	P4/mmm (123)
final energy	-15.057	eV for the cell shown